Entry a
## Co2SbTe (PBE-GGA)

Data for a relaxed structure of Co2SbTe.

## Properties
M_tot: 0.37 μB per atom
Fermi-level density of states: 6.3 states/eV/cell
space-group type: No. 225
crystal system: cubic

Lattice parameters (Å, degrees): 4.578 4.578 4.578 60.00 60.00 60.00
Fractional coordinates of all 4 atoms:
Co: 0.250 0.250 0.250
Co: 0.750 0.750 0.750
Sb: 0.000 0.000 0.000
Te: 0.500 0.500 0.500

Entry b
## Co2SbTe (PBE-GGA)

Data for a relaxed structure of Co2SbTe.

## Properties
M_tot: 0.00 μB per atom
Fermi-level density of states: 3.4 states/eV/cell
space-group type: No. 99
crystal system: tetragonal

Lattice parameters (Å, degrees): 3.375 3.375 6.748 90.00 90.00 90.00
Fractional coordinates of all 4 atoms:
Co: 0.000 0.000 0.000
Co: 0.500 0.500 0.220
Sb: 0.000 0.000 0.376
Te: 0.500 0.500 0.852

In order of decreasing stability: entry b, entry a.

Entry a
## Co2SbTe (PBE-GGA)

Data for a relaxed structure of Co2SbTe.

## Properties
M_tot: 0.33 μB per atom
Fermi-level density of states: 4.5 states/eV/cell
space-group type: No. 119
crystal system: tetragonal

Lattice parameters (Å, degrees): 5.618 5.618 5.618 141.07 141.07 56.23
Fractional coordinates of all 4 atoms:
Co: 0.000 0.000 0.000
Co: 0.750 0.250 0.500
Sb: 0.250 0.750 0.500
Te: 0.500 0.500 0.000

Entry b
## Co2SbTe (PBE-GGA)

Data for a relaxed structure of Co2SbTe.

## Properties
M_tot: 0.00 μB per atom
Fermi-level density of states: 5.3 states/eV/cell
space-group type: No. 10
crystal system: monoclinic

Lattice parameters (Å, degrees): 3.196 3.219 6.516 90.00 90.36 90.00
Fractional coordinates of all 4 atoms:
Co: 0.002 0.000 0.216
Co: 0.998 0.000 0.784
Sb: 0.500 0.500 0.000
Te: 0.500 0.500 0.500

In order of decreasing stability: entry b, entry a.

Entry a
## Co2SbTe (PBE-GGA)

Data for a relaxed structure of Co2SbTe.

## Properties
M_tot: 0.00 μB per atom
Fermi-level density of states: 3.1 states/eV/cell
space-group type: No. 187
crystal system: hexagonal

Lattice parameters (Å, degrees): 3.890 3.890 5.229 90.00 90.00 120.00
Fractional coordinates of all 4 atoms:
Co: 0.000 0.000 0.249
Co: 0.000 0.000 0.751
Sb: 0.667 0.333 0.500
Te: 0.333 0.667 0.000

Entry b
## Co2SbTe (PBE-GGA)

Data for a relaxed structure of Co2SbTe.

## Properties
M_tot: 0.04 μB per atom
Fermi-level density of states: 5.3 states/eV/cell
space-group type: No. 12
crystal system: monoclinic

Lattice parameters (Å, degrees): 3.700 3.700 6.367 106.94 106.94 60.18
Fractional coordinates of all 4 atoms:
Co: 0.248 0.248 0.243
Co: 0.752 0.752 0.757
Sb: 0.500 0.500 0.000
Te: 0.000 0.000 0.500

Entry c
## Co2SbTe (PBE-GGA)

Data for a relaxed structure of Co2SbTe.

## Properties
M_tot: 0.00 μB per atom
Fermi-level density of states: 8.8 states/eV/cell
space-group type: No. 122
crystal system: tetragonal

Lattice parameters (Å, degrees): 6.880 6.880 6.880 130.95 130.95 71.89
Fractional coordinates of all 8 atoms:
Co: 0.120 0.625 0.995
Co: 0.375 0.370 0.495
Co: 0.630 0.125 0.005
Co: 0.875 0.880 0.505
Sb: 0.250 0.750 0.500
Sb: 0.500 0.500 0.000
Te: 0.000 0.000 0.000
Te: 0.750 0.250 0.500

Entry d
## Co2SbTe (PBE-GGA)

Data for a relaxed structure of Co2SbTe.

## Properties
M_tot: 0.41 μB per atom
Fermi-level density of states: 5.6 states/eV/cell
space-group type: No. 6
crystal system: monoclinic

Lattice parameters (Å, degrees): 4.381 4.272 4.407 90.00 112.70 90.00
Fractional coordinates of all 4 atoms:
Co: 0.000 0.000 0.000
Co: 0.147 0.500 0.844
Sb: 0.361 0.000 0.636
Te: 0.787 0.500 0.207

In order of decreasing stability: entry a, entry d, entry b, entry c.

Entry a
## TlCoSb2Te (PBE-GGA)

Data for a relaxed structure of TlCoSb2Te.

## Properties
M_tot: 0.00 μB per atom
Fermi-level density of states: 4.1 states/eV/cell
space-group type: No. 123
crystal system: tetragonal

Lattice parameters (Å, degrees): 4.873 4.873 5.804 90.00 90.00 90.00
Fractional coordinates of all 5 atoms:
Tl: 0.000 0.000 0.000
Co: 0.500 0.500 0.500
Sb: 0.000 0.500 0.500
Sb: 0.500 0.000 0.500
Te: 0.500 0.500 0.000

Entry b
## TlCoSb2Te (PBE-GGA)

Data for a relaxed structure of TlCoSb2Te.

## Properties
M_tot: 0.46 μB per atom
Fermi-level density of states: 10.5 states/eV/cell
space-group type: No. 123
crystal system: tetragonal

Lattice parameters (Å, degrees): 5.649 5.649 5.775 90.00 90.00 90.00
Fractional coordinates of all 5 atoms:
Tl: 0.000 0.000 0.000
Co: 0.500 0.500 0.500
Sb: 0.000 0.500 0.000
Sb: 0.500 0.000 0.000
Te: 0.000 0.000 0.500

In order of decreasing stability: entry a, entry b.

Entry a
## VCoSb2Te (PBE-GGA)

Data for a relaxed structure of VCoSb2Te.

## Properties
M_tot: 0.02 μB per atom
Fermi-level density of states: 7.5 states/eV/cell
space-group type: No. 123
crystal system: tetragonal

Lattice parameters (Å, degrees): 4.788 4.788 5.271 90.00 90.00 90.00
Fractional coordinates of all 5 atoms:
V: 0.000 0.000 0.000
Co: 0.500 0.500 0.500
Sb: 0.000 0.500 0.500
Sb: 0.500 0.000 0.500
Te: 0.500 0.500 0.000

Entry b
## VCoSb2Te (PBE-GGA)

Data for a relaxed structure of VCoSb2Te.

## Properties
M_tot: 0.46 μB per atom
Fermi-level density of states: 5.4 states/eV/cell
space-group type: No. 123
crystal system: tetragonal

Lattice parameters (Å, degrees): 5.127 5.127 5.076 90.00 90.00 90.00
Fractional coordinates of all 5 atoms:
V: 0.000 0.000 0.000
Co: 0.500 0.500 0.500
Sb: 0.000 0.500 0.000
Sb: 0.500 0.000 0.000
Te: 0.000 0.000 0.500

In order of decreasing stability: entry a, entry b.

Entry a
## CoSb2TeW (PBE-GGA)

Data for a relaxed structure of CoSb2TeW.

## Properties
M_tot: 0.52 μB per atom
Fermi-level density of states: 4.4 states/eV/cell
space-group type: No. 123
crystal system: tetragonal

Lattice parameters (Å, degrees): 4.810 4.810 5.077 90.00 90.00 90.00
Fractional coordinates of all 5 atoms:
Co: 0.000 0.000 0.000
Sb: 0.000 0.500 0.000
Sb: 0.500 0.000 0.000
Te: 0.000 0.000 0.500
W: 0.500 0.500 0.500

Entry b
## CoSb2TeW (PBE-GGA)

Data for a relaxed structure of CoSb2TeW.

## Properties
M_tot: 0.43 μB per atom
Fermi-level density of states: 3.8 states/eV/cell
space-group type: No. 123
crystal system: tetragonal

Lattice parameters (Å, degrees): 5.261 5.261 5.248 90.00 90.00 90.00
Fractional coordinates of all 5 atoms:
Co: 0.000 0.000 0.000
Sb: 0.000 0.500 0.500
Sb: 0.500 0.000 0.500
Te: 0.500 0.500 0.000
W: 0.500 0.500 0.500

In order of decreasing stability: entry a, entry b.